No. 1
Computed, not measured: crystalline TlRe3Ru at its relaxed geometry at the GGA-PBE level of DFT.

The structure in extended XYZ format:
```
5
Lattice="4.7237 0.0000 0.0000 0.0000 4.7237 0.0000 0.0000 0.0000 4.7237" Properties=species:S:1:pos:R:3 pbc="T T T"
Tl 0.0000 0.0000 0.0000
Re 0.0000 2.3619 2.3619
Re 2.3619 0.0000 2.3619
Re 2.3619 2.3619 0.0000
Ru 2.3619 2.3619 2.3619
```

Summary:
Energy in eV per atom: -7.6663
Space group: Pm-3m, No. 221
Relative energy among the computed polymorphs in eV per formula unit: 0.00
Energy of formation in eV per atom: 2.1310


No. 2
Computed, not measured: crystalline KCd2In2 at its relaxed geometry at the GGA-PBE level of DFT.

The structure in extended XYZ format:
```
20
Lattice="9.1812 0.0000 0.0000 0.0000 4.8773 0.0000 0.0000 0.0000 13.3764" Properties=species:S:1:pos:R:3 pbc="T T T"
K 2.0341 1.2193 2.2962
K 2.5565 3.6580 8.9844
K 6.6247 1.2193 4.3920
K 7.1472 3.6580 11.0802
Cd 0.1424 3.6580 4.3923
Cd 0.8251 3.6580 13.2243
Cd 3.7655 1.2193 6.5361
Cd 4.4482 1.2193 11.0805
Cd 4.7330 3.6580 2.2959
Cd 5.4158 3.6580 6.8403
Cd 8.3561 1.2193 0.1521
Cd 9.0388 1.2193 8.9841
In 0.8989 1.2193 6.0388
In 1.4301 1.2193 11.4919
In 3.1605 3.6580 4.8037
In 3.6917 3.6580 12.7270
In 5.4896 1.2193 0.6494
In 6.0207 1.2193 8.5727
In 7.7512 3.6580 1.8845
In 8.2823 3.6580 7.3376
```

Summary:
Energy in eV per atom: -1.7715
Space group: Pnma, No. 62
Relative energy among the computed polymorphs in eV per formula unit: 0.00
Energy of formation in eV per atom: -0.0905


N(E_F) values, unit states/eV per cell, following the record order: 5.937; 11.108.